No. 1
Cs2RbF3 | PBE-GGA | relaxed

* formation energy (no corrections): -2.65 eV per atom
* D(E_F): 0.000 states/eV/atom
* ρ: 4.21 Mg/m³

```
Cs2RbF3
1.0
4.138 0.000 -0.943
-0.215 4.133 -0.943
-0.026 -0.026 9.438
F Cs Rb
3 2 1
Direct
0.595 0.596 0.196
0.934 0.936 0.874
0.273 0.275 0.552
0.770 0.771 0.545
0.099 0.100 0.203
0.434 0.436 0.874
```

=====

No. 2
Cs2RbF | PBE-GGA | relaxed

* formation energy (no corrections): -1.25 eV per atom
* D(E_F): 0.602 states/eV/atom
* ρ: 2.61 Mg/m³

```
Cs2RbF
1.0
4.692 0.000 0.000
2.346 4.064 0.000
2.346 1.355 12.338
F Rb Cs
1 1 2
Direct
0.667 0.667 0.000
0.500 0.500 0.500
0.288 0.288 0.135
0.045 0.045 0.865
```

=====

No. 3
Cs4Rb3F8 | PBE-GGA | relaxed

* formation energy (no corrections): -2.47 eV per atom
* D(E_F): 1.007 states/eV/atom
* ρ: 3.68 Mg/m³

```
Cs4Rb3F8
1.0
5.988 5.969 0.109
-5.988 5.969 0.109
0.000 5.938 6.048
Cs F Rb
4 8 3
Direct
0.500 0.000 0.000
0.000 0.000 0.000
0.000 0.000 0.500
0.000 0.500 0.000
0.235 0.765 0.000
0.241 0.241 0.988
0.241 0.241 0.528
0.255 0.745 0.500
0.765 0.235 0.000
0.759 0.759 0.012
0.745 0.255 0.500
0.759 0.759 0.472
0.000 0.500 0.500
0.500 0.000 0.500
0.500 0.500 0.500
```

=====

No. 4
Cs4Rb3F | PBE-GGA | relaxed

* formation energy (no corrections): -0.63 eV per atom
* D(E_F): 0.804 states/eV/atom
* ρ: 1.83 Mg/m³

```
Cs4Rb3F
1.0
8.419 0.000 4.666
4.165 8.723 2.414
-0.012 -0.478 9.951
Cs Rb F
4 3 1
Direct
0.344 0.392 0.392
0.871 0.392 0.392
0.838 0.477 0.848
0.838 0.848 0.477
0.429 0.260 0.882
0.429 0.882 0.260
0.132 0.868 0.868
0.969 0.531 0.531
```

=====

No. 5
CsRbF2 | PBE-GGA | relaxed

* formation energy (no corrections): -2.65 eV per atom
* D(E_F): 0.000 states/eV/atom
* ρ: 4.11 Mg/m³

```
CsRbF2
1.0
-2.556 2.514 -2.151
-1.154 -3.929 0.842
-0.773 1.728 7.001
F Cs Rb
2 1 1
Direct
0.510 0.255 0.764
0.490 0.745 0.236
0.000 0.500 0.500
0.000 0.000 0.000
```

=====

No. 6
Cs2RbF | PBE-GGA | relaxed

* formation energy (no corrections): -1.12 eV per atom
* D(E_F): 0.597 states/eV/atom
* ρ: 2.79 Mg/m³

```
Cs2RbF
1.0
-2.681 -3.194 -0.125
2.785 -2.254 -2.138
4.757 -4.417 10.853
F Cs Rb
1 2 1
Direct
0.500 0.500 0.000
0.000 0.000 0.854
0.000 0.000 0.146
0.500 0.500 0.500
```

=====

No. 7
Cs2RbF3 | PBE-GGA | relaxed

* formation energy (no corrections): -2.65 eV per atom
* D(E_F): 0.000 states/eV/atom
* ρ: 4.23 Mg/m³

```
Cs2RbF3
1.0
-0.449 4.034 4.387
-7.325 2.690 -3.224
-1.070 -6.922 2.185
Cs F Rb
4 6 2
Direct
0.334 0.417 0.668
0.666 0.083 0.332
0.334 0.917 0.668
0.666 0.583 0.332
0.501 0.750 0.000
0.844 0.422 0.688
0.157 0.078 0.312
0.499 0.250 0.000
0.156 0.578 0.312
0.843 0.922 0.688
0.000 0.750 0.000
0.000 0.250 0.000
```

=====

No. 8
CsRbF2 | PBE-GGA | relaxed

* formation energy (no corrections): -2.63 eV per atom
* D(E_F): 0.000 states/eV/atom
* ρ: 4.13 Mg/m³

```
CsRbF2
1.0
-0.161 -0.849 3.990
2.881 -2.334 1.708
4.799 4.768 3.297
Cs F Rb
1 2 1
Direct
0.499 0.499 0.504
0.079 0.079 0.764
0.255 0.255 0.236
0.668 0.668 0.996
```

=====

No. 9
Cs2RbF2 | PBE-GGA | relaxed

* formation energy (no corrections): -1.98 eV per atom
* D(E_F): 0.296 states/eV/atom
* ρ: 2.64 Mg/m³

```
Cs2RbF2
1.0
5.409 0.000 0.000
0.000 5.409 0.000
2.705 2.705 8.378
Cs Rb F
2 1 2
Direct
0.692 0.692 0.616
0.308 0.308 0.384
0.000 0.000 0.000
0.250 0.750 0.500
0.750 0.250 0.500
```

=====

No. 10
CsRbF4 | PBE-GGA | relaxed

* formation energy (no corrections): -1.87 eV per atom
* ρ: 2.99 Mg/m³

```
CsRbF4
1.0
-2.169 -6.896 2.582
7.246 -2.691 -1.234
-1.138 6.247 4.383
Rb F Cs
2 8 2
Direct
0.809 0.059 0.118
0.191 0.941 0.882
0.509 0.271 0.014
0.411 0.998 0.695
0.995 0.256 0.986
0.589 0.002 0.305
0.005 0.744 0.014
0.491 0.729 0.986
0.785 0.698 0.695
0.215 0.302 0.305
0.384 0.634 0.268
0.616 0.366 0.732
```

=====

No. 11
CsRb3F | PBE-GGA | relaxed

* formation energy (no corrections): -0.86 eV per atom
* D(E_F): 0.933 states/eV/atom
* ρ: 2.29 Mg/m³

```
CsRb3F
1.0
6.663 0.000 0.000
0.000 6.663 0.000
0.000 0.000 6.663
Rb Cs F
3 1 1
Direct
0.000 0.000 0.500
0.000 0.500 0.000
0.500 0.000 0.000
0.500 0.500 0.500
0.000 0.000 0.000
```